# 1
A relaxed InSe2 crystal. Source: Alexandria, functional PBE-GGA.

Computed properties:
* M_tot: 0.0 Bohr magnetons per cell
* raw formation energy: 0.110 eV per atom
* D(E_F): 4.33 states/eV per cell

```
data_InSe2
_chemical_formula_sum 'In2 Se4'
_cell_length_a 4.6919
_cell_length_b 4.6919
_cell_length_c 8.4855
_cell_angle_alpha 90.00
_cell_angle_beta 90.00
_cell_angle_gamma 120.00
_symmetry_space_group_name_H-M 'P 63/m m c'
_symmetry_Int_Tables_number 194
_symmetry_space_group_name_Hall '-P 6c 2c'
loop_
_atom_site_label
_atom_site_fract_x
_atom_site_fract_y
_atom_site_fract_z
In1 0.0000 0.0000 0.2500
Se1 0.3333 0.6667 0.0238
```

***

# 2
A relaxed Zn3ClO crystal. Source: Alexandria, functional PBE-GGA.

Computed properties:
* M_tot: 0.0 Bohr magnetons per cell
* raw formation energy: 0.891 eV per atom
* relative energy among the computed polymorphs: 1014.7 meV per atom
* D(E_F): 2.69 states/eV per cell

```
data_Zn3ClO
_chemical_formula_sum 'Zn3 Cl1 O1'
_cell_length_a 4.936
_cell_length_b 4.936
_cell_length_c 4.936
_cell_angle_alpha 90.00
_cell_angle_beta 90.00
_cell_angle_gamma 90.00
_symmetry_space_group_name_H-M 'P m -3 m'
_symmetry_Int_Tables_number 221
_symmetry_space_group_name_Hall '-P 4 2 3'
loop_
_atom_site_label
_atom_site_fract_x
_atom_site_fract_y
_atom_site_fract_z
Zn1 0.000 0.000 0.500
Cl1 0.000 0.000 0.000
O1 0.500 0.500 0.500
```

***

# 3
A relaxed CaBe2Ni crystal. Source: Alexandria, functional PBE-GGA.

Computed properties:
* M_tot: 0.0 Bohr magnetons per cell
* energy of formation: 0.39 eV per formula unit
* relative energy among the computed polymorphs: 255.3 meV per atom
* D(E_F): 3.28 states/eV per cell

```
data_CaBe2Ni
_chemical_formula_sum 'Ca1 Be2 Ni1'
_cell_length_a 2.928
_cell_length_b 2.928
_cell_length_c 6.459
_cell_angle_alpha 90.00
_cell_angle_beta 90.00
_cell_angle_gamma 90.00
_symmetry_space_group_name_H-M 'P 4/m m m'
_symmetry_Int_Tables_number 123
_symmetry_space_group_name_Hall '-P 4 2'
loop_
_atom_site_label
_atom_site_fract_x
_atom_site_fract_y
_atom_site_fract_z
Ca1 0.000 0.000 0.000
Be1 0.500 0.500 0.336
Ni1 0.000 0.000 0.500
```